(1)
# Ag2MoP2

A geometry-optimized Ag2MoP2 structure (PBE, the Alexandria database).

SG: P4/mbm, No. 127
Calculated formation energy, eV/atom: 0.079
Crystal system: tetragonal
Total moment, μB/atom: 0.000

a = 6.171 Å, b = 6.171 Å, c = 4.509 Å
α = 90.00°, β = 90.00°, γ = 90.00°
Positions (direct):
Ag (0.247, 0.253, 0.000)
Ag (0.253, 0.753, 0.000)
Ag (0.747, 0.247, 0.000)
Ag (0.753, 0.747, 0.000)
Mo (0.000, 0.000, 0.500)
Mo (0.500, 0.500, 0.500)
P (0.130, 0.370, 0.500)
P (0.370, 0.870, 0.500)
P (0.630, 0.130, 0.500)
P (0.870, 0.630, 0.500)

=====

(2)
# CrHgW2

A geometry-optimized CrHgW2 structure (PBE, the Alexandria database).

SG: P4/mmm, No. 123
Calculated formation energy, eV/atom: 0.525
Crystal system: tetragonal
Total moment, μB/atom: 0.000

a = 2.941 Å, b = 2.941 Å, c = 7.534 Å
α = 90.00°, β = 90.00°, γ = 90.00°
Positions (direct):
Cr (0.000, 0.000, 0.000)
Hg (0.000, 0.000, 0.500)
W (0.500, 0.500, 0.202)
W (0.500, 0.500, 0.798)